First-principles (PBE with a Hubbard U) data for CrCd3F after structural relaxation, as listed in the Alexandria database.

Calculated values
Total DFT energy (no corrections): -11.598 eV for the cell shown
Energy above the most stable polymorph in this dataset: 1.298 eV/f.u.
Spin magnetization: 4.88 μB per formula unit
SG: Pm-3m

Lattice parameters (Å, degrees): 5.4256 5.4256 5.4256 90.00 90.00 90.00
Last column: nearest neighbours and their distance in Å.
Positions (direct):
Cr (0.0000, 0.0000, 0.0000)  6 Cd 2.71
F (0.5000, 0.5000, 0.5000)  12 Cd 3.84
Cd (0.0000, 0.5000, 0.0000)  2 Cr 2.71
Cd (0.0000, 0.0000, 0.5000)  2 Cr 2.71
Cd (0.5000, 0.0000, 0.0000)  2 Cr 2.71